SiP2W | the Alexandria database | GGA-PBE | relaxed; formation energy from raw total energies = 0.51 eV/atom; V = 14.5 A^3/atom; energy = -27.15 eV for the cell shown; crystal system = orthorhombic
1.0
-0.9731 0.5980 -2.8885
-4.4884 0.2758 1.5692
0.4602 3.8437 0.6407
P Si W
2 1 1
Direct
0.0000 0.0000 0.0000
0.5000 0.5000 0.0000
0.5000 0.0000 0.5000
0.0000 0.5000 0.5000


SiPW2 | the Alexandria database | GGA-PBE | relaxed; excess energy over the best structure of this formula in the dataset = 1.71 eV/f.u.; formation energy from raw total energies = 0.15 eV/atom; V = 14.6 A^3/atom; energy = -36.15 eV for the cell shown; crystal system = trigonal
1.0
-2.3923 7.6701 0.2648
-2.9866 7.0212 -2.5311
-4.9144 6.3473 -0.4285
P Si W
1 1 2
Direct
0.2500 0.2500 0.2500
0.7500 0.7500 0.7500
0.9958 0.9958 0.9958
0.5042 0.5042 0.5042


SiPW2 | the Alexandria database | GGA-PBE | relaxed; excess energy over the best structure of this formula in the dataset = 2.51 eV/f.u.; formation energy from raw total energies = 0.35 eV/atom; V = 14.8 A^3/atom; energy = -35.35 eV for the cell shown; crystal system = cubic
1.0
4.3785 0.0000 0.0000
2.1893 3.7919 0.0000
2.1893 1.2640 3.5751
P Si W
1 1 2
Direct
0.5000 0.5000 0.5000
0.7500 0.7500 0.7500
0.0000 0.0000 0.0000
0.2500 0.2500 0.2500


SiPW | the Alexandria database | GGA-PBE | relaxed; excess energy over the best structure of this formula in the dataset = 0.11 eV/f.u.; formation energy from raw total energies = -0.13 eV/atom; V = 13.7 A^3/atom; energy = -24.17 eV for the cell shown; crystal system = tetragonal
1.0
-2.8860 1.8418 3.0623
-4.1704 -1.7985 0.6874
4.3759 -1.3716 -0.2641
P Si W
1 1 1
Direct
0.9982 0.9982 0.0000
0.3355 0.3355 0.0000
0.6663 0.6663 0.0000


SiP2W | the Alexandria database | GGA-PBE | relaxed; formation energy from raw total energies = 0.14 eV/atom; V = 14.5 A^3/atom; energy = -28.63 eV for the cell shown; crystal system = monoclinic
1.0
4.4049 -0.0035 0.0034
3.2913 2.9276 0.0034
0.2990 0.1136 4.5047
P Si W
2 1 1
Direct
0.9710 0.9710 0.0275
0.5290 0.5290 0.4725
0.7500 0.7500 0.7500
0.2500 0.2500 0.2500


Si4PW | the Alexandria database | GGA-PBE | relaxed; formation energy from raw total energies = 0.66 eV/atom; V = 14.1 A^3/atom; energy = -36.10 eV for the cell shown; crystal system = cubic
1.0
-0.8654 -4.8203 0.5036
1.0379 -2.2564 4.2508
-3.6488 -1.5544 2.9169
Si P W
4 1 1
Direct
0.8782 0.3739 0.3739
0.3739 0.3739 0.8782
0.3739 0.8782 0.3739
0.3739 0.3739 0.3739
0.0000 0.0000 0.0000
0.7500 0.7500 0.7500


SiPW2 | the Alexandria database | GGA-PBE | relaxed; excess energy over the best structure of this formula in the dataset = 1.67 eV/f.u.; formation energy from raw total energies = 0.14 eV/atom; V = 14.4 A^3/atom; energy = -36.18 eV for the cell shown; crystal system = orthorhombic
1.0
5.0327 -0.0106 -0.0024
2.2506 4.5014 0.0024
-3.2533 -2.8753 2.5450
P Si W
1 1 2
Direct
0.5084 0.5084 0.0000
0.2486 0.7486 0.5000
0.0114 0.0114 0.0000
0.7315 0.2315 0.5000


Y4SiP | the Alexandria database | GGA-PBE | relaxed; formation energy from raw total energies = 0.46 eV/atom; V = 25.9 A^3/atom; energy = -33.95 eV for the cell shown; crystal system = cubic
1.0
-0.6756 -5.8657 1.2643
-3.7689 -1.7277 4.3899
-5.1610 -2.8121 -1.3848
Y Si P
4 1 1
Direct
0.8764 0.3745 0.3745
0.3745 0.3745 0.8764
0.3745 0.8764 0.3745
0.3745 0.3745 0.3745
0.0000 0.0000 0.0000
0.7500 0.7500 0.7500


YSiP | the Alexandria database | GGA-PBE | relaxed; excess energy over the best structure of this formula in the dataset = 0.00 eV/f.u.; formation energy from raw total energies = -0.71 eV/atom; V = 22.6 A^3/atom; energy = -38.85 eV for the cell shown; crystal system = trigonal
1.0
-0.0104 0.1548 4.6997
3.6836 -1.6465 2.4148
4.2211 5.9072 2.1672
Y P Si
2 2 2
Direct
0.5893 0.5893 0.2321
0.4107 0.4107 0.7679
0.2772 0.2772 0.1684
0.7228 0.7228 0.8316
0.8291 0.8291 0.5127
0.1709 0.1709 0.4873


YSi4P | the Alexandria database | GGA-PBE | relaxed; formation energy from raw total energies = -0.02 eV/atom; V = 16.4 A^3/atom; energy = -33.66 eV for the cell shown; crystal system = cubic
1.0
0.0000 3.6607 3.6607
3.6607 0.0000 3.6607
3.6607 3.6607 0.0000
Y Si P
1 4 1
Direct
0.2500 0.2500 0.2500
0.6257 0.6257 0.1230
0.6257 0.1230 0.6257
0.6257 0.6257 0.6257
0.1230 0.6257 0.6257
0.0000 0.0000 0.0000


YSiP4 | the Alexandria database | GGA-PBE | relaxed; formation energy from raw total energies = 0.13 eV/atom; V = 16.8 A^3/atom; energy = -32.73 eV for the cell shown; crystal system = cubic
1.0
0.0000 3.6928 3.6928
3.6928 0.0000 3.6928
3.6928 3.6928 0.0000
Y Si P
1 1 4
Direct
0.0000 0.0000 0.0000
0.7500 0.7500 0.7500
0.8591 0.3803 0.3803
0.3803 0.3803 0.8591
0.3803 0.8591 0.3803
0.3803 0.3803 0.3803


YSi2P2 | the Alexandria database | GGA-PBE | relaxed; excess energy over the best structure of this formula in the dataset = 0.29 eV/f.u.; formation energy from raw total energies = -0.19 eV/atom; V = 18.2 A^3/atom; energy = -29.09 eV for the cell shown; crystal system = tetragonal
1.0
-3.0960 1.7323 -1.0969
-1.9991 -2.9918 0.9177
-3.3585 1.7830 6.0098
Y P Si
1 2 2
Direct
0.0000 0.0000 0.0000
0.4118 0.4118 0.1764
0.5882 0.5882 0.8236
0.7500 0.2500 0.5000
0.2500 0.7500 0.5000


Y2SiP2 | the Alexandria database | GGA-PBE | relaxed; excess energy over the best structure of this formula in the dataset = 0.00 eV/f.u.; formation energy from raw total energies = -0.88 eV/atom; V = 20.3 A^3/atom; energy = -67.12 eV for the cell shown; crystal system = tetragonal
1.0
-4.2447 -5.6632 -1.4051
0.2904 -1.9405 6.9437
-3.1509 2.1780 0.7405
Y P Si
4 4 2
Direct
0.1618 0.6618 0.5000
0.6618 0.8382 0.5000
0.8382 0.3382 0.5000
0.3382 0.1618 0.5000
0.3492 0.8492 0.0000
0.8492 0.6508 0.0000
0.6508 0.1508 0.0000
0.1508 0.3492 0.0000
0.0000 0.0000 0.0000
0.5000 0.5000 0.0000


YSi3P | the Alexandria database | GGA-PBE | relaxed; excess energy over the best structure of this formula in the dataset = 0.00 eV/f.u.; formation energy from raw total energies = 0.31 eV/atom; V = 19.9 A^3/atom; energy = -26.58 eV for the cell shown; crystal system = cubic
1.0
4.6369 0.0000 0.0000
0.0000 4.6369 0.0000
0.0000 0.0000 4.6369
Y P Si
1 1 3
Direct
0.5000 0.5000 0.5000
0.0000 0.0000 0.0000
0.0000 0.5000 0.0000
0.0000 0.0000 0.5000
0.5000 0.0000 0.0000


Y2SiP2 | the Alexandria database | GGA-PBE | relaxed; excess energy over the best structure of this formula in the dataset = 0.85 eV/f.u.; formation energy from raw total energies = -0.71 eV/atom; V = 22.4 A^3/atom; energy = -32.71 eV for the cell shown; crystal system = tetragonal
1.0
-2.7180 2.7180 3.7932
2.7180 -2.7180 3.7932
2.7180 2.7180 -3.7932
Y Si P
2 1 2
Direct
0.2500 0.7500 0.5000
0.7500 0.2500 0.5000
0.0000 0.0000 0.0000
0.3191 0.3191 0.0000
0.6809 0.6809 0.0000


YSiP3 | the Alexandria database | GGA-PBE | relaxed; excess energy over the best structure of this formula in the dataset = 5.32 eV/f.u.; formation energy from raw total energies = 1.02 eV/atom; V = 28.1 A^3/atom; energy = -23.00 eV for the cell shown; crystal system = cubic
1.0
-1.5871 -4.8959 0.7500
4.9126 -1.6564 -0.4166
0.6310 0.5813 5.1298
Y P Si
1 3 1
Direct
0.0000 0.0000 0.0000
0.0000 0.5000 0.0000
0.0000 0.0000 0.5000
0.5000 0.0000 0.0000
0.5000 0.5000 0.5000


YSiP | the Alexandria database | GGA-PBE | relaxed; excess energy over the best structure of this formula in the dataset = 0.29 eV/f.u.; formation energy from raw total energies = -0.61 eV/atom; V = 19.2 A^3/atom; energy = -19.13 eV for the cell shown; crystal system = hexagonal
1.0
-3.0835 -0.9174 -2.6261
1.4868 -2.9156 2.5562
-2.5819 1.0268 2.6729
P Si Y
1 1 1
Direct
0.0000 0.0000 0.1667
0.3333 0.6667 0.1666
0.6667 0.3333 0.6667


YSi3P | the Alexandria database | GGA-PBE | relaxed; excess energy over the best structure of this formula in the dataset = 6.34 eV/f.u.; formation energy from raw total energies = 1.58 eV/atom; V = 29.5 A^3/atom; energy = -20.24 eV for the cell shown; crystal system = cubic
1.0
5.2819 0.0000 0.0000
0.0000 5.2819 0.0000
0.0000 0.0000 5.2819
Y P Si
1 1 3
Direct
0.0000 0.0000 0.0000
0.5000 0.5000 0.5000
0.0000 0.5000 0.0000
0.0000 0.0000 0.5000
0.5000 0.0000 0.0000


YSiP | the Alexandria database | GGA-PBE | relaxed; excess energy over the best structure of this formula in the dataset = 0.70 eV/f.u.; formation energy from raw total energies = -0.48 eV/atom; V = 18.4 A^3/atom; energy = -18.73 eV for the cell shown; crystal system = tetragonal
1.0
-0.9724 4.3862 -2.9706
-2.8793 1.8549 -4.1572
-2.7705 1.5150 1.2170
P Si Y
1 1 1
Direct
0.0360 0.0360 0.9640
0.6294 0.6294 0.3706
0.3346 0.3346 0.6654


YSi2P2 | the Alexandria database | GGA-PBE | relaxed; excess energy over the best structure of this formula in the dataset = 0.00 eV/f.u.; formation energy from raw total energies = -0.25 eV/atom; V = 17.7 A^3/atom; energy = -29.38 eV for the cell shown; crystal system = tetragonal
1.0
-4.1620 -1.4473 1.6669
2.2057 -2.5816 3.2658
-1.0541 1.0819 4.9653
Y P Si
1 2 2
Direct
0.0000 0.0000 0.0000
0.7500 0.2500 0.5000
0.2500 0.7500 0.5000
0.3513 0.3513 0.2974
0.6487 0.6487 0.7026